Record 1
NaCoSnGe | PBE | optimized geometry

Computed properties:
The calculated total energy is -4.0530 eV/atom. As for the symmetry: F-43m (216).

abc: 4.5911 4.5911 4.5911
angles: 60.00 60.00 60.00
Sites, in units of the cell vectors:
Ge 0.0000 0.0000 0.0000
Co 0.2500 0.2500 0.2500
Sn 0.5000 0.5000 0.5000
Na 0.7500 0.7500 0.7500

Record 2
NdAsNO | PBE | optimized geometry

Computed properties:
The calculated total energy is -6.8617 eV/atom. As for the symmetry: P4/nmm (129).

abc: 4.2702 4.2702 7.2638
angles: 90.00 90.00 90.00
Sites, in units of the cell vectors:
Nd 0.0000 0.5000 0.1476
O 0.5000 0.5000 0.0000
As 0.0000 0.0000 0.5000
O 0.0000 0.0000 0.0000
Nd 0.5000 0.0000 0.8524
N 0.0000 0.5000 0.4944
N 0.5000 0.0000 0.5056
As 0.5000 0.5000 0.5000

Record 3
HoAlTl | PBE | optimized geometry

Computed properties:
The calculated total energy is -3.4011 eV/atom. As for the symmetry: F-43m (216).

abc: 4.9577 4.9577 4.9577
angles: 60.00 60.00 60.00
Sites, in units of the cell vectors:
Tl 0.7500 0.7500 0.7500
Ho 0.0000 0.0000 0.0000
Al 0.2500 0.2500 0.2500

Record 4
BaHgPbCl2O2 | PBE | optimized geometry

Computed properties:
The calculated total energy is -4.3132 eV/atom. As for the symmetry: Cm (8).

abc: 6.3373 6.3373 7.9767
angles: 119.81 119.81 37.47
Sites, in units of the cell vectors:
O 0.1916 0.1916 0.0780
Cl 0.5774 0.5774 0.3600
Pb 0.8075 0.8075 0.2280
Hg 0.0018 0.0018 0.0095
Cl 0.4357 0.4357 0.6628
Ba 0.1738 0.1738 0.7210
O 0.8122 0.8122 0.9407

Record 5
KTa3Sb5 | PBE | optimized geometry

Computed properties:
The calculated total energy is -6.5426 eV/atom. As for the symmetry: P6/mmm (191).

abc: 5.7893 5.7893 9.2608
angles: 90.00 90.00 120.00
Sites, in units of the cell vectors:
Sb 0.0000 0.0000 0.5000
Ta 0.5000 0.5000 0.5000
Ta 0.0000 0.5000 0.5000
Ta 0.5000 0.0000 0.5000
Sb 0.6667 0.3333 0.7573
K 0.0000 0.0000 0.0000
Sb 0.3333 0.6667 0.2427
Sb 0.6667 0.3333 0.2427
Sb 0.3333 0.6667 0.7573

Record 6
GaFeMoOs | PBE | optimized geometry

Computed properties:
The calculated total energy is -8.3110 eV/atom. As for the symmetry: F-43m (216).

abc: 4.2769 4.2769 4.2769
angles: 60.00 60.00 60.00
Sites, in units of the cell vectors:
Mo 0.5000 0.5000 0.5000
Os 0.2500 0.2500 0.2500
Ga 0.0000 0.0000 0.0000
Fe 0.7500 0.7500 0.7500

Record 7
LuNiPt2 | PBE | optimized geometry

Computed properties:
The calculated total energy is -6.1877 eV/atom. As for the symmetry: F-43m (216). For the formation enthalpy at 0 K, the calculation gives -0.6370 eV per atom.

abc: 4.5339 4.5339 4.5339
angles: 60.00 60.00 60.00
Sites, in units of the cell vectors:
Pt 0.0000 0.0000 0.0000
Ni 0.2500 0.2500 0.2500
Pt 0.7500 0.7500 0.7500
Lu 0.5000 0.5000 0.5000

Record 8
SrFeCuS3 | PBE | optimized geometry

Computed properties:
The calculated total energy is -5.1298 eV/atom. As for the symmetry: Pnma (62).

abc: 9.5291 3.7547 12.9037
angles: 90.00 90.00 90.00
Site moments in Bohr magnetons follow the coordinates.
Sites, in units of the cell vectors:
Cu 0.7391 0.2500 0.7770  0.20
Sr 0.7615 0.2500 0.4974  0.03
S 0.4350 0.2500 0.6213  0.20
S 0.9594 0.7500 0.3761  0.19
Cu 0.7609 0.7500 0.2770  0.20
Sr 0.2385 0.7500 0.5027  0.03
S 0.0406 0.2500 0.6239  0.19
Cu 0.2391 0.2500 0.7230  0.20
S 0.7635 0.2500 0.1756  0.18
Fe 0.0168 0.2500 0.2479  3.58
Fe 0.9832 0.7500 0.7521  3.58
Fe 0.5168 0.2500 0.2521  3.58
Sr 0.7385 0.7500 0.9973  0.03
S 0.9350 0.2500 0.8787  0.20
Fe 0.4832 0.7500 0.7479  3.58
S 0.0650 0.7500 0.1213  0.20
Cu 0.2609 0.7500 0.2230  0.20
S 0.5650 0.7500 0.3787  0.20
S 0.4594 0.7500 0.1239  0.19
S 0.7365 0.7500 0.6756  0.18
S 0.2635 0.2500 0.3244  0.18
S 0.2365 0.7500 0.8244  0.18
S 0.5406 0.2500 0.8761  0.19
Sr 0.2615 0.2500 0.0026  0.03

Record 9
Er2B5 | PBE | optimized geometry

Computed properties:
The calculated total energy is -6.5130 eV/atom. As for the symmetry: Immm (71).

abc: 5.3130 5.3130 5.3130
angles: 144.37 102.25 88.57
Sites, in units of the cell vectors:
Er 0.7456 0.7456 0.0000
Er 0.2544 0.2544 0.0000
B 0.7367 0.0000 0.7367
B 0.8626 0.5000 0.3626
B 0.2633 0.0000 0.2633
B 0.5000 0.0000 0.5000
B 0.1374 0.5000 0.6374

Record 10
ZrB | PBE | optimized geometry

Computed properties:
The calculated total energy is -7.5696 eV/atom. As for the symmetry: Pmm2 (25).

abc: 4.1158 7.8481 3.4326
angles: 90.00 90.00 90.00
Sites, in units of the cell vectors:
B 0.9790 0.2456 0.5000
B 0.9466 0.0000 0.0000
B 0.0894 0.0000 0.5000
Zr 0.4654 0.5000 0.5000
Zr 0.4545 0.1790 0.0000
Zr 0.9650 0.5000 0.0000
Zr 0.4545 0.8210 0.0000
B 0.9790 0.7544 0.5000

Record 11
ZrAs2W2 | PBE | optimized geometry

Computed properties:
The calculated total energy is -8.6150 eV/atom. As for the symmetry: I4/mmm (139).

abc: 5.8459 5.8459 5.8459
angles: 137.05 137.05 62.36
Sites, in units of the cell vectors:
As 0.6225 0.6225 0.0000
As 0.3775 0.3775 0.0000
Zr 0.0000 0.0000 0.0000
W 0.7500 0.2500 0.5000
W 0.2500 0.7500 0.5000

Record 12
LaLuZn | PBE | optimized geometry

Computed properties:
The calculated total energy is -3.0439 eV/atom. As for the symmetry: F-43m (216). For the formation enthalpy at 0 K, the calculation gives 0.5265 eV per atom.

abc: 5.0161 5.0161 5.0161
angles: 60.00 60.00 60.00
Sites, in units of the cell vectors:
La 0.0000 0.0000 0.0000
Zn 0.7500 0.7500 0.7500
Lu 0.2500 0.2500 0.2500